Material: LaTa3Cl
Method: DFT, PBE
State: optimized geometry

Values from the calculation:
Density in g cm⁻³: 9.2
Final energy in eV/atom: -5.992
ΔE_f (raw) in eV per atom: 2.47
Energy above the lowest structure with this stoichiometry in eV per atom: 1.721

Cell: 5.050 5.050 5.050 Å, 90.00 90.00 90.00°
Space group Pm-3m (No. 221)
Unique sites:
La (0.000, 0.000, 0.000) (multiplicity 1)
Ta (0.000, 0.000, 0.500) (multiplicity 3)
Cl (0.500, 0.500, 0.500) (multiplicity 1)